VASP calculation (PBE) on Rb2TeIr6 after structural relaxation.

Unit cell a=9.165 b=9.165 c=9.165 alpha=90.00 beta=90.00 gamma=90.00
Space group Fm-3m (No. 225)
Symmetry-distinct sites (fractional):
Rb: 0.250 0.250 0.250 x8
Te: 0.000 0.000 0.000 x4
Ir: 0.000 0.000 0.297 x24

Properties
Its total DFT energy (no corrections) is -5.601 eV/atom.

VASP calculation (PBE) on RbTeIr after structural relaxation.

Unit cell a=7.552 b=7.552 c=7.552 alpha=90.00 beta=90.00 gamma=90.00
Space group F-43m (No. 216)
Symmetry-distinct sites (fractional):
Rb: 0.000 0.000 0.000 x4
Te: 0.250 0.250 0.250 x4
Ir: 0.250 0.250 0.750 x4

Properties
The value obtained for the energy above the most stable polymorph in this dataset is 0.981 eV per atom.

VASP calculation (PBE) on RbTeIr after structural relaxation.

Unit cell a=6.961 b=6.961 c=6.961 alpha=90.00 beta=90.00 gamma=90.00
Space group F-43m (No. 216)
Symmetry-distinct sites (fractional):
Rb: 0.000 0.000 0.000 x4
Te: 0.000 0.000 0.500 x4
Ir: 0.250 0.250 0.250 x4

Properties
The value obtained for the energy above the most stable polymorph in this dataset is 0.000 eV per atom.

VASP calculation (PBE) on RbTlIr after structural relaxation.

Unit cell a=7.570 b=7.570 c=7.570 alpha=90.00 beta=90.00 gamma=90.00
Space group F-43m (No. 216)
Symmetry-distinct sites (fractional):
Rb: 0.000 0.000 0.000 x4
Tl: 0.250 0.250 0.250 x4
Ir: 0.250 0.250 0.750 x4

Properties
The value obtained for the energy above the most stable polymorph in this dataset is 0.695 eV per atom.

VASP calculation (PBE) on RbTlIr after structural relaxation.

Unit cell a=7.049 b=7.049 c=7.049 alpha=90.00 beta=90.00 gamma=90.00
Space group F-43m (No. 216)
Symmetry-distinct sites (fractional):
Rb: 0.000 0.000 0.000 x4
Tl: 0.000 0.000 0.500 x4
Ir: 0.250 0.250 0.250 x4

Properties
The value obtained for the energy above the most stable polymorph in this dataset is 0.000 eV per atom.

VASP calculation (PBE) on RbTmIr after structural relaxation.

Unit cell a=7.012 b=7.012 c=7.012 alpha=90.00 beta=90.00 gamma=90.00
Space group F-43m (No. 216)
Symmetry-distinct sites (fractional):
Rb: 0.000 0.000 0.000 x4
Tm: 0.000 0.000 0.500 x4
Ir: 0.250 0.250 0.250 x4

Properties
The value obtained for the energy above the most stable polymorph in this dataset is 0.000 eV per atom.

VASP calculation (PBE) on RbIrW after structural relaxation.

Unit cell a=6.394 b=6.394 c=6.394 alpha=90.00 beta=90.00 gamma=90.00
Space group F-43m (No. 216)
Symmetry-distinct sites (fractional):
Rb: 0.000 0.000 0.000 x4
Ir: 0.000 0.000 0.500 x4
W: 0.250 0.250 0.750 x4

Properties
The value obtained for the energy above the most stable polymorph in this dataset is 0.000 eV per atom.

VASP calculation (PBE) on RbIrW after structural relaxation.

Unit cell a=6.385 b=6.385 c=6.385 alpha=90.00 beta=90.00 gamma=90.00
Space group F-43m (No. 216)
Symmetry-distinct sites (fractional):
Rb: 0.000 0.000 0.000 x4
Ir: 0.250 0.250 0.750 x4
W: 0.250 0.250 0.250 x4

Properties
The value obtained for the energy above the most stable polymorph in this dataset is 1.484 eV per atom.

VASP calculation (PBE) on RbYIr after structural relaxation.

Unit cell a=6.891 b=6.891 c=6.891 alpha=90.00 beta=90.00 gamma=90.00
Space group F-43m (No. 216)
Symmetry-distinct sites (fractional):
Rb: 0.000 0.000 0.000 x4
Y: 0.250 0.250 0.250 x4
Ir: 0.250 0.250 0.750 x4

Properties
The value obtained for the energy above the most stable polymorph in this dataset is 0.924 eV per atom.

VASP calculation (PBE) on RbYIr after structural relaxation.

Unit cell a=7.066 b=7.066 c=7.066 alpha=90.00 beta=90.00 gamma=90.00
Space group F-43m (No. 216)
Symmetry-distinct sites (fractional):
Rb: 0.000 0.000 0.000 x4
Y: 0.000 0.000 0.500 x4
Ir: 0.250 0.250 0.250 x4

Properties
The value obtained for the energy above the most stable polymorph in this dataset is 0.000 eV per atom.

VASP calculation (PBE) on RbZnIr after structural relaxation.

Unit cell a=6.730 b=6.730 c=6.730 alpha=90.00 beta=90.00 gamma=90.00
Space group F-43m (No. 216)
Symmetry-distinct sites (fractional):
Rb: 0.000 0.000 0.000 x4
Zn: 0.250 0.250 0.750 x4
Ir: 0.000 0.000 0.500 x4

Properties
The value obtained for the energy above the most stable polymorph in this dataset is 0.091 eV per atom.

VASP calculation (PBE) on RbZnIr after structural relaxation.

Unit cell a=6.676 b=6.676 c=6.676 alpha=90.00 beta=90.00 gamma=90.00
Space group F-43m (No. 216)
Symmetry-distinct sites (fractional):
Rb: 0.000 0.000 0.000 x4
Zn: 0.000 0.000 0.500 x4
Ir: 0.250 0.250 0.250 x4

Properties
The value obtained for the energy above the most stable polymorph in this dataset is 0.000 eV per atom.

VASP calculation (PBE) on RbZnIr after structural relaxation.

Unit cell a=7.596 b=7.596 c=7.596 alpha=90.00 beta=90.00 gamma=90.00
Space group F-43m (No. 216)
Symmetry-distinct sites (fractional):
Rb: 0.000 0.000 0.000 x4
Zn: 0.250 0.250 0.250 x4
Ir: 0.250 0.250 0.750 x4

Properties
The value obtained for the energy above the most stable polymorph in this dataset is 0.826 eV per atom.

VASP calculation (PBE) on RbZrIr after structural relaxation.

Unit cell a=6.808 b=6.808 c=6.808 alpha=90.00 beta=90.00 gamma=90.00
Space group F-43m (No. 216)
Symmetry-distinct sites (fractional):
Rb: 0.000 0.000 0.000 x4
Zr: 0.000 0.000 0.500 x4
Ir: 0.250 0.250 0.250 x4

Properties
The value obtained for the energy above the most stable polymorph in this dataset is 0.000 eV per atom.

VASP calculation (PBE) on RbZrIr after structural relaxation.

Unit cell a=6.612 b=6.612 c=6.612 alpha=90.00 beta=90.00 gamma=90.00
Space group F-43m (No. 216)
Symmetry-distinct sites (fractional):
Rb: 0.000 0.000 0.000 x4
Zr: 0.250 0.250 0.250 x4
Ir: 0.250 0.250 0.750 x4

Properties
The value obtained for the energy above the most stable polymorph in this dataset is 1.138 eV per atom.

VASP calculation (PBE) on ReIr2 after structural relaxation.

Unit cell a=7.184 b=7.184 c=7.184 alpha=90.00 beta=90.00 gamma=90.00
Space group Fd-3m (No. 227, origin choice 2)
Symmetry-distinct sites (fractional):
Re: 0.125 0.125 0.125 x8
Ir: 0.000 0.000 0.500 x16

Properties
The value obtained for the energy above the most stable polymorph in this dataset is 0.000 eV per atom. The calculation puts the formation energy from the elements at 1.751 eV/f.u.

VASP calculation (PBE) on ReIr after structural relaxation.

Unit cell a=4.390 b=2.738 c=4.833 alpha=90.00 beta=90.00 gamma=90.00
Space group Pmma (No. 51)
Symmetry-distinct sites (fractional):
Re: 0.250 0.000 0.163 x2
Ir: 0.250 0.500 0.667 x2

Properties
The value obtained for the energy above the most stable polymorph in this dataset is 0.000 eV per atom. The calculation puts the formation energy from the elements at -0.558 eV/f.u.

VASP calculation (PBE) on ReIr after structural relaxation.

Unit cell a=2.7646 b=2.7646 c=4.4024 alpha=90.00 beta=90.00 gamma=120.00
Space group P-6m2 (No. 187)
Symmetry-distinct sites (fractional):
Re: 0.0000 0.0000 0.0000 x1
Ir: 0.3333 0.6667 0.5000 x1

Properties
The value obtained for the energy above the most stable polymorph in this dataset is 0.089 eV per atom. The calculation puts the formation energy from the elements at -0.379 eV/f.u.

VASP calculation (PBE) on ReIr after structural relaxation.

Unit cell a=5.581 b=5.581 c=5.581 alpha=90.00 beta=90.00 gamma=90.00
Space group F-43m (No. 216)
Symmetry-distinct sites (fractional):
Re: 0.000 0.000 0.000 x4
Ir: 0.250 0.250 0.250 x4

Properties
The value obtained for the energy above the most stable polymorph in this dataset is 1.332 eV per atom. The calculation puts the formation energy from the elements at 2.107 eV/f.u.

VASP calculation (PBE) on ReIr2 after structural relaxation.

Unit cell a=10.725 b=10.725 c=10.725 alpha=90.00 beta=90.00 gamma=90.00
Space group Fd-3m (No. 227, origin choice 2)
Symmetry-distinct sites (fractional):
Re: 0.125 0.125 0.125 x8
Ir: 0.000 0.000 0.000 x16

Properties
The value obtained for the energy above the most stable polymorph in this dataset is 2.614 eV per atom. The calculation puts the formation energy from the elements at 9.592 eV/f.u.

VASP calculation (PBE) on Sc2Re3Ir after structural relaxation.

Unit cell a=5.1556 b=5.1556 c=8.8761 alpha=90.00 beta=90.00 gamma=120.00
Space group P6_3/mmc (No. 194)
Symmetry-distinct sites (fractional):
Sc: 0.3333 0.6667 0.0633 x4
Re: 0.1711 0.3422 0.7500 x6
Ir: 0.0000 0.0000 0.0000 x2

Properties
The calculation puts the formation energy from the elements at -2.911 eV/f.u.

VASP calculation (PBE) on Sc2ReIr3 after structural relaxation.

Unit cell a=5.3197 b=5.3197 c=8.2625 alpha=90.00 beta=90.00 gamma=120.00
Space group P6_3/mmc (No. 194)
Symmetry-distinct sites (fractional):
Sc: 0.3333 0.6667 0.0640 x4
Re: 0.0000 0.0000 0.0000 x2
Ir: 0.1714 0.3428 0.7500 x6

Properties
The calculation puts the formation energy from the elements at -4.216 eV/f.u.

VASP calculation (PBE) on ReIrSe6 after structural relaxation.

Unit cell a=6.1901 b=6.1901 c=15.0190 alpha=90.00 beta=90.00 gamma=120.00
Space group R-3 (No. 148, hexagonal axes)
Symmetry-distinct sites (fractional):
Re: 0.0000 0.0000 0.0000 x3
Ir: 0.0000 0.0000 0.5000 x3
Se: 0.0021 0.3131 0.2518 x18

Properties
Its total DFT energy (no corrections) is -5.338 eV/atom.

VASP calculation (PBE) on SmReIr after structural relaxation.

Unit cell a=6.489 b=6.489 c=6.489 alpha=90.00 beta=90.00 gamma=90.00
Space group F-43m (No. 216)
Symmetry-distinct sites (fractional):
Sm: 0.000 0.000 0.000 x4
Re: 0.250 0.250 0.250 x4
Ir: 0.250 0.250 0.750 x4

Properties
The calculation puts the formation energy from the elements at 4.248 eV/f.u.

VASP calculation (PBE) on ReSnIr after structural relaxation.

Unit cell a=6.130 b=6.130 c=6.130 alpha=90.00 beta=90.00 gamma=90.00
Space group F-43m (No. 216)
Symmetry-distinct sites (fractional):
Re: 0.000 0.000 0.000 x4
Sn: 0.000 0.000 0.500 x4
Ir: 0.250 0.250 0.250 x4

Properties
The value obtained for the energy above the most stable polymorph in this dataset is 0.000 eV per atom.

VASP calculation (PBE) on Re2SnIr after structural relaxation.

Unit cell a=6.383 b=6.383 c=6.383 alpha=90.00 beta=90.00 gamma=90.00
Space group F-43m (No. 216)
Symmetry-distinct sites (fractional):
Re: 0.000 0.000 0.000 x4
Re: 0.250 0.250 0.250 x4
Sn: 0.000 0.000 0.500 x4
Ir: 0.250 0.250 0.750 x4

Properties
Its total DFT energy (no corrections) is -8.882 eV/atom.

VASP calculation (PBE) on Re2TcIr after structural relaxation.

Unit cell a=6.213 b=6.213 c=6.213 alpha=90.00 beta=90.00 gamma=90.00
Space group F-43m (No. 216)
Symmetry-distinct sites (fractional):
Re: 0.000 0.000 0.000 x4
Re: 0.250 0.250 0.250 x4
Tc: 0.000 0.000 0.500 x4
Ir: 0.250 0.250 0.750 x4

Properties
The calculation puts the formation energy from the elements at 1.478 eV/f.u.

VASP calculation (PBE) on ReTcIr2 after structural relaxation.

Unit cell a=2.737 b=4.382 c=4.820 alpha=90.00 beta=90.00 gamma=90.00
Space group Pmm2 (No. 25)
Symmetry-distinct sites (fractional):
Re: 0.000 0.000 0.000 x1
Tc: 0.000 0.500 0.673 x1
Ir: 0.500 0.000 0.507 x1
Ir: 0.500 0.500 0.170 x1

Properties
The value obtained for the energy above the most stable polymorph in this dataset is 0.000 eV per atom. The calculation puts the formation energy from the elements at -1.146 eV/f.u.

VASP calculation (PBE) on ReTc2Ir2 after structural relaxation.

Unit cell a=3.707 b=3.707 c=11.740 alpha=90.00 beta=90.00 gamma=90.00
Space group I4/mmm (No. 139)
Symmetry-distinct sites (fractional):
Re: 0.000 0.000 0.000 x2
Tc: 0.000 0.000 0.402 x4
Ir: 0.000 0.500 0.250 x4

Properties
The calculation puts the formation energy from the elements at 3.248 eV/f.u.

VASP calculation (PBE) on ReTeIr after structural relaxation.

Unit cell a=6.6951 b=6.6951 c=4.3156 alpha=90.00 beta=90.00 gamma=120.00
Space group P-62m (No. 189)
Symmetry-distinct sites (fractional):
Re: 0.0000 0.2354 0.0000 x3
Te: 0.0000 0.5977 0.5000 x3
Ir: 0.0000 0.0000 0.5000 x1
Ir: 0.3333 0.6667 0.0000 x2

Properties
The value obtained for the energy above the most stable polymorph in this dataset is 0.129 eV per atom.

no.,total moment (μB per atom)
1,0.01
2,0.62
3,0.07
4,0.34
5,0.12
6,0.00
7,0.00
8,0.45
9,0.00
10,0.01
11,0.00
12,0.00
13,0.64
14,0.00
15,0.00
16,0.00
17,0.00
18,0.00
19,0.00
20,0.00
21,0.00
22,0.00
23,0.00
24,0.88
25,0.02
26,0.37
27,0.21
28,0.00
29,0.00
30,0.01